Record 1
Entry from Alexandria: an optimized crystal structure of NaTmMgI6 (GGA-PBE).

Cell: 7.5892 7.5892 14.4839 Å, 90.00 90.00 120.00°
Closest atoms and distances in Å follow each position.
Fractional positions:
Na  0.0000  0.0000  0.0000  6 I 3.32
Na  0.0000  0.0000  0.5000  6 I 3.32
Tm  0.6667  0.3333  0.2500  6 I 3.01
Tm  0.3333  0.6667  0.7500  6 I 3.01
Mg  0.3333  0.6667  0.2500  6 I 2.95
Mg  0.6667  0.3333  0.7500  6 I 2.95
I  0.6401  0.6456  0.1323  1 Mg 2.95, 1 Tm 3.01
I  0.0055  0.3599  0.1323  1 Mg 2.95, 1 Tm 3.01
I  0.3599  0.0055  0.6323  1 Mg 2.95, 1 Tm 3.01
I  0.9945  0.6401  0.8677  1 Mg 2.95, 1 Tm 3.01
I  0.3544  0.3599  0.3677  1 Mg 2.95, 1 Tm 3.01
I  0.0055  0.6456  0.3677  1 Mg 2.95, 1 Tm 3.01
I  0.6456  0.0055  0.8677  1 Mg 2.95, 1 Tm 3.01
I  0.6401  0.9945  0.3677  1 Mg 2.95, 1 Tm 3.01
I  0.9945  0.3544  0.6323  1 Mg 2.95, 1 Tm 3.01
I  0.3544  0.9945  0.1323  1 Mg 2.95, 1 Tm 3.01
I  0.6456  0.6401  0.6323  1 Mg 2.95, 1 Tm 3.01
I  0.3599  0.3544  0.8677  1 Mg 2.95, 1 Tm 3.01

## Properties
Theoretical density   4.5 g/cm3
Formation energy without anion corrections   -1.22 eV per atom
Space-group type   P-31c

=====

Record 2
Entry from Alexandria: an optimized crystal structure of LiGaPd3 (GGA-PBE).

Cell: 4.6630 4.6630 4.6630 Å, 90.00 90.00 90.00°
Closest atoms and distances in Å follow each position.
Fractional positions:
Ga  0.0000  0.0000  0.0000  6 Pd 2.33
Pd  0.0000  0.5000  0.0000  2 Ga 2.33
Pd  0.0000  0.0000  0.5000  2 Ga 2.33
Pd  0.5000  0.0000  0.0000  2 Ga 2.33
Li  0.5000  0.5000  0.5000  12 Pd 3.30

## Properties
Theoretical density   6.5 g/cm3
E_form   1.2 kJ/mol of atoms
Space-group type   Pm-3m
Energy above the most stable polymorph in this dataset   522.1 meV/atom

=====

Record 3
Entry from Alexandria: an optimized crystal structure of CaAsSe2I (GGA-PBE).

Cell: 5.4044 5.4044 5.8531 Å, 90.00 90.00 90.00°
Closest atoms and distances in Å follow each position.
Fractional positions:
I  0.5000  0.5000  0.5000  4 As 3.82, 8 Se 3.98
As  0.0000  0.0000  0.5000  2 Ca 2.93
Ca  0.0000  0.0000  0.0000  4 Se 2.70, 2 As 2.93
Se  0.0000  0.5000  0.0000  2 Ca 2.70
Se  0.5000  0.0000  0.0000  2 Ca 2.70

## Properties
Theoretical density   3.9 g/cm3
Formation energy without anion corrections   0.32 eV per atom
Space-group type   P4/mmm
Energy above the most stable polymorph in this dataset   143.2 meV/atom

=====

- The highest theoretical density belongs to which entry?
  LiGaPd3